No. 1
# CdOs2Ru

CdOs2Ru after structural relaxation (PBE, Alexandria via LeMat-Bulk).

space group	No. 139
calculated total energy	-30.12	eV per cell
V	61	Å³ per cell

a = 4.9725 Å, b = 4.9725 Å, c = 4.9725 Å
α = 134.54°, β = 134.54°, γ = 66.24°
Closest atoms and distances in Å follow each position.
Fractional coordinates of all 4 atoms:
1 Ru 0.2500 0.7500 0.5000  4 Cd 2.72, 8 Os 2.83
2 Os 0.5000 0.5000 0.0000  4 Os 2.72, 4 Cd 2.83, 4 Ru 2.83
3 Cd 0.7500 0.2500 0.5000  4 Ru 2.72, 8 Os 2.83
4 Os 0.0000 0.0000 0.0000  4 Os 2.72, 4 Cd 2.83, 4 Ru 2.83

No. 2
# FeOsW2N

FeOsW2N after structural relaxation (PBE, Alexandria via LeMat-Bulk).

raw formation energy	0.012	eV/atom
space group	No. 123
calculated total energy	-53.86	eV per cell
V	64	Å³ per cell

a = 4.0865 Å, b = 4.0865 Å, c = 3.8157 Å
α = 90.00°, β = 90.00°, γ = 90.00°
Closest atoms and distances in Å follow each position.
Fractional coordinates of all 5 atoms:
1 W 0.5000 0.0000 0.0000  2 N 2.04
2 N 0.0000 0.0000 0.0000  2 Fe 1.91, 4 W 2.04
3 W 0.0000 0.5000 0.0000  2 N 2.04
4 Fe 0.0000 0.0000 0.5000  2 N 1.91
5 Os 0.5000 0.5000 0.5000  8 W 2.80, 4 Fe 2.89

No. 3
# CaCd4Hg7

CaCd4Hg7 after structural relaxation (PBE, Alexandria via LeMat-Bulk).

excess energy over the best structure of this formula in the dataset	0.0	kJ per mole of atoms
space group	No. 2
calculated total energy	-9.11	eV per cell
V	299	Å³ per cell

a = 6.4832 Å, b = 5.9998 Å, c = 8.0163 Å
α = 84.30°, β = 78.12°, γ = 98.49°
Closest atoms and distances in Å follow each position.
Fractional coordinates of all 12 atoms:
1 Ca 0.0000 0.0000 0.0000  10 Hg 3.24-3.54, 4 Cd 3.59
2 Cd 0.2499 0.2172 0.3255  8 Hg 3.02-3.36, 2 Cd 3.21-3.25
3 Hg 0.5000 0.0000 0.0000  2 Hg 3.14, 2 Ca 3.24, 4 Cd 3.27-3.35
4 Hg 0.7316 0.1700 0.3472  6 Cd 3.05-3.36, 2 Hg 3.14-3.16, 1 Ca 3.30
5 Cd 0.5798 0.6678 0.3341  7 Hg 3.03-3.35, 3 Cd 3.06-3.25
6 Hg 0.2684 0.8300 0.6528  6 Cd 3.05-3.36, 2 Hg 3.14-3.16, 1 Ca 3.30
7 Hg 0.9244 0.2971 0.6605  5 Cd 3.11-3.30, 3 Hg 3.13-3.24, 1 Ca 3.27
8 Cd 0.4202 0.3322 0.6659  7 Hg 3.03-3.35, 3 Cd 3.06-3.25
9 Hg 0.0756 0.7029 0.3395  5 Cd 3.11-3.30, 3 Hg 3.13-3.24, 1 Ca 3.27
10 Cd 0.7501 0.7828 0.6745  8 Hg 3.02-3.36, 2 Cd 3.21-3.25
11 Hg 0.2472 0.5118 0.9973  2 Cd 3.02-3.03, 5 Hg 3.13-3.31, 1 Ca 3.24
12 Hg 0.7528 0.4882 0.0027  2 Cd 3.02-3.03, 5 Hg 3.13-3.31, 1 Ca 3.24

No. 4
# GaWSeN2

GaWSeN2 after structural relaxation (PBE, Alexandria via LeMat-Bulk).

excess energy over the best structure of this formula in the dataset	0.0	kJ per mole of atoms
raw formation energy	0.243	eV/atom
space group	No. 123
calculated total energy	-34.90	eV per cell
V	82	Å³ per cell

a = 3.9335 Å, b = 3.9335 Å, c = 5.2770 Å
α = 90.00°, β = 90.00°, γ = 90.00°
Closest atoms and distances in Å follow each position.
Fractional coordinates of all 5 atoms:
1 N 0.5000 0.0000 0.0000  2 W 1.97
2 W 0.0000 0.0000 0.0000  4 N 1.97
3 N 0.0000 0.5000 0.0000  2 W 1.97
4 Se 0.0000 0.0000 0.5000  2 W 2.64, 4 Ga 2.78
5 Ga 0.5000 0.5000 0.5000  4 Se 2.78